# 1
TbDy3Th2Bi6 GGA-PBE relaxed; V = 32.683 Å³ per atom; formation enthalpy at 0 K = -0.77 eV per atom; theoretical density = 10.0 Mg/m³; size of the total moment = 0.0 μB per cell
1.0
9.846 -2.265 0.000
9.846 2.265 0.000
-2.052 0.000 8.793
Tb Dy Th Bi
1 3 2 6
Cartesian
0.000 0.000 0.000
-1.026 0.000 4.397
6.214 0.000 1.458
11.425 0.000 7.335
5.228 0.000 5.882
12.411 0.000 2.911
2.045 0.000 5.176
3.121 0.000 0.675
9.277 0.000 2.194
8.362 0.000 6.600
14.519 0.000 8.118
15.594 0.000 3.617


# 2
CsLiTm2F8 GGA-PBE relaxed; V = 16.838 Å³ per atom; theoretical density = 5.2 Mg/m³; size of the total moment = 0.0 μB per cell; formation energy (no corrections) = -44.4 eV per formula unit
1.0
4.262 0.000 0.000
0.079 6.721 0.000
0.621 0.841 7.053
Cs Li Tm F
1 1 2 8
Cartesian
0.000 0.000 0.000
0.310 0.420 3.526
2.076 3.215 1.843
2.887 4.347 5.210
0.752 3.962 5.454
1.306 1.251 2.308
1.952 4.929 3.202
2.089 4.628 0.102
2.874 2.934 6.950
3.011 2.634 3.851
3.656 6.312 4.745
4.211 3.600 1.599


# 3
AlTlPt2 GGA-PBE relaxed; V = 17.593 Å³ per atom; energy above the most stable polymorph in this dataset = 218 meV/atom; formation enthalpy at 0 K = -0.31 eV per atom; theoretical density = 14.7 Mg/m³; size of the total moment = 0.0 μB per cell
1.0
4.789 -1.734 0.000
4.789 1.734 0.000
-1.309 0.000 4.237
Al Tl Pt
1 1 2
Cartesian
0.000 0.000 0.000
6.761 0.000 1.568
1.573 0.000 3.822
4.162 0.000 2.350


# 4
USi6Pd12 GGA-PBE relaxed; V = 16.140 Å³ per atom; theoretical density = 9.1 Mg/m³; size of the total moment = 3.1 μB per cell; formation energy (no corrections) = -10.2 eV per formula unit
1.0
5.637 3.254 2.786
-5.637 3.254 2.786
0.000 -6.509 2.786
U Si Pd
1 6 12
Cartesian
0.000 0.000 0.000
0.000 -2.873 3.326
-2.488 1.437 3.326
-2.488 -1.437 5.033
2.488 1.437 3.326
2.488 -1.437 5.033
0.000 2.873 5.033
-2.117 -3.667 4.179
-4.234 0.000 4.179
-1.470 -0.848 2.880
1.470 -0.848 2.880
0.000 1.697 2.880
2.117 -3.667 4.179
-2.117 3.667 4.179
0.000 -1.697 5.479
-1.470 0.848 5.479
1.470 0.848 5.479
4.234 0.000 4.179
2.117 3.667 4.179


# 5
Pr6As2HSe3 GGA-PBE relaxed; V = 26.780 Å³ per atom; raw total energy = -5.777 eV per atom; theoretical density = 6.4 Mg/m³; size of the total moment = 0.0 μB per cell
1.0
9.213 -2.130 0.000
9.213 2.130 0.000
-2.038 0.000 8.186
Pr As H Se
6 2 1 3
Cartesian
17.914 0.000 2.039
-1.526 0.000 6.147
5.228 0.000 3.452
4.305 0.000 7.476
12.082 0.000 0.711
11.160 0.000 4.734
2.344 0.000 2.692
14.043 0.000 5.494
9.213 0.000 0.000
1.403 0.000 6.829
8.194 0.000 4.093
14.984 0.000 1.358


# 6
Rb2LiNp2Se6 GGA-PBE relaxed; V = 32.864 Å³ per atom; theoretical density = 5.2 Mg/m³; size of the total moment = 5.0 μB per cell; formation energy (no corrections) = -12.7 eV per formula unit
1.0
3.576 -6.230 0.000
3.576 6.230 0.000
-2.242 0.000 8.113
Rb Li Np Se
2 1 2 6
Cartesian
3.576 4.229 0.000
3.576 -4.229 0.000
-1.121 0.000 4.056
2.456 2.068 4.056
2.456 -2.068 4.056
0.120 2.173 5.571
1.370 0.000 2.536
0.120 -2.173 5.571
4.791 2.173 2.542
3.541 0.000 5.577
4.791 -2.173 2.542